Entry from Alexandria: Ce5SmSb4 after structural relaxation (PBE).

Cell lengths 4.404, 8.752, 9.860 Å; angles 108.14, 102.90, 90.00 degrees
Site moments in Bohr magnetons follow the coordinates.
Sites, in units of the cell vectors:
Ce1 0.814 0.654 0.628  1.21
Ce2 0.843 0.182 0.687  1.06
Ce3 0.157 0.818 0.313  1.06
Ce4 0.500 0.500 0.000  1.04
Ce5 0.186 0.346 0.372  1.21
Sm1 0.500 0.000 0.000  0.02
Sb1 0.329 0.917 0.657  -0.03
Sb2 0.984 0.737 0.967  -0.02
Sb3 0.671 0.083 0.343  -0.03
Sb4 0.016 0.263 0.033  -0.02

Properties
SG: C2/m, No. 12
ΔE_f (raw): -0.60 eV/atom

---

Entry from Alexandria: CrSi2PbC after structural relaxation (PBE).

Cell lengths 4.424, 4.102, 4.424 Å; angles 90.00, 90.00, 90.00 degrees
Site moments in Bohr magnetons follow the coordinates.
Sites, in units of the cell vectors:
Pb1 0.500 0.500 0.500  -0.04
Cr1 0.000 0.500 0.000  2.96
Si1 0.000 0.000 0.500  -0.02
Si2 0.500 0.000 0.000  -0.01
C1 0.000 0.000 0.000  -0.14

Properties
SG: P4/mmm, No. 123
ΔE_f (raw): 0.84 eV/atom

---

Entry from Alexandria: SrZr3Nb after structural relaxation (PBE).

Cell lengths 5.041, 5.041, 5.041 Å; angles 90.00, 90.00, 90.00 degrees
Site moments in Bohr magnetons follow the coordinates.
Sites, in units of the cell vectors:
Sr1 0.000 0.000 0.000  0.01
Nb1 0.500 0.500 0.500  0.61
Zr1 0.000 0.500 0.000  0.04
Zr2 0.000 0.000 0.500  0.01
Zr3 0.500 0.000 0.000  -0.02

Properties
Energy above the lowest structure with this stoichiometry: 1.3647 eV/atom
SG: Pm-3m, No. 221
E_form: 2.0287 eV/atom

---

Results for calculated volume: 351.01, 80.30, 128.10 (in Å³ per cell, following the order of the records).
Results for VASP energy: -56.90, -29.18, -27.25 (in eV/cell, following the order of the records).